Entry 1:
DFT (GGA-PBE) results for a relaxed structure of SrTaPb.

The structure in POSCAR format:
```
SrTaPb
1.0
-3.046 2.225 -5.439
0.292 -1.789 -6.366
-0.893 -1.500 6.385
Pb Sr Ta
1 1 1
Cartesian
-0.079 0.012 -0.338 Pb
-0.908 0.144 -3.892 Sr
-1.767 0.280 -7.575 Ta
```

Summary:
Energy above the lowest structure with this stoichiometry (meV/atom): 54.2
Total magnetization (μB/cell): 0.0
Energy of formation (eV/atom): 0.5695
V (A^3/atom): 27.819
E (eV/atom): -5.178
Symmetry: Imm2

Entry 2:
DFT (GGA-PBE) results for a relaxed structure of LiYTlBi.

The structure in POSCAR format:
```
LiYTlBi
1.0
-3.896 -3.209 -1.698
-3.307 -2.261 3.509
-5.074 1.591 0.284
Y Tl Bi Li
1 1 1 1
Cartesian
-9.207 -2.909 1.571 Y
0.000 0.000 0.000 Tl
-6.138 -1.940 1.047 Bi
-3.069 -0.970 0.524 Li
```

Summary:
Total magnetization (μB/cell): 0.0
Energy of formation (eV/atom): -0.3552
V (A^3/atom): 26.695
E (eV/atom): -4.012
Symmetry: F-43m

Repeat the first record exactly.
DFT (GGA-PBE) results for a relaxed structure of SrTaPb.

The structure in POSCAR format:
```
SrTaPb
1.0
-3.046 2.225 -5.439
0.292 -1.789 -6.366
-0.893 -1.500 6.385
Pb Sr Ta
1 1 1
Cartesian
-0.079 0.012 -0.338 Pb
-0.908 0.144 -3.892 Sr
-1.767 0.280 -7.575 Ta
```

Summary:
Energy above the lowest structure with this stoichiometry (meV/atom): 54.2
Total magnetization (μB/cell): 0.0
Energy of formation (eV/atom): 0.5695
V (A^3/atom): 27.819
E (eV/atom): -5.178
Symmetry: Imm2